DFT (PBE-GGA) results for Sm3Dy8Tm2 after structural relaxation.

a b c (Å): 7.6895 5.6342 10.6787
angles (deg): 90.00 111.06 90.00
With the nearest neighbours (Å) after each atom.
Element x y z (fractional)
Sm: 0.0000 0.0000 0.0000  4 Dy 3.12
Sm: 0.2902 0.5000 0.0000  3 Sm 3.23-3.59, 6 Dy 3.49-3.56
Sm: 0.7098 0.5000 0.0000  3 Sm 3.23-3.59, 6 Dy 3.49-3.56
Dy: 0.1349 0.5000 0.2697  4 Sm 3.49-3.89, 2 Tm 3.53, 5 Dy 3.63-3.85
Dy: 0.1815 0.0000 0.7816  1 Sm 3.12, 3 Dy 3.22-3.48, 2 Tm 3.39-3.45
Dy: 0.3283 0.5000 0.6565  2 Tm 3.31, 4 Dy 3.48
Dy: 0.4001 0.0000 0.2185  1 Sm 3.12, 3 Dy 3.22-3.48, 2 Tm 3.39-3.45
Dy: 0.5999 0.0000 0.7815  1 Sm 3.12, 3 Dy 3.22-3.48, 2 Tm 3.39-3.45
Dy: 0.6717 0.5000 0.3435  2 Tm 3.31, 4 Dy 3.48
Dy: 0.8185 0.0000 0.2184  1 Sm 3.12, 3 Dy 3.22-3.48, 2 Tm 3.39-3.45
Dy: 0.8651 0.5000 0.7303  4 Sm 3.49-3.89, 2 Tm 3.53, 5 Dy 3.63-3.85
Tm: 0.2412 0.0000 0.4824  8 Dy 3.31-3.53
Tm: 0.7588 0.0000 0.5176  8 Dy 3.31-3.53

Properties
- distance to the lowest polymorph of the same formula (eV per atom) = 0.2196


DFT (PBE-GGA) results for ZrZn2Sn after structural relaxation.

a b c (Å): 4.2024 4.2024 4.2075
angles (deg): 90.00 90.00 90.00
With the nearest neighbours (Å) after each atom.
Element x y z (fractional)
Zr: 0.0000 0.0000 0.0000  4 Sn 2.97, 8 Zn 2.97
Zn: 0.0000 0.5000 0.5000  4 Zn 2.97, 4 Zr 2.97, 4 Sn 2.97
Zn: 0.5000 0.0000 0.5000  4 Zn 2.97, 4 Zr 2.97, 4 Sn 2.97
Sn: 0.5000 0.5000 0.0000  4 Zr 2.97, 8 Zn 2.97

Properties
- final energy (eV per atom) = -4.10